The following is a PBE calculation of an optimized crystal structure of MgBi4Te7, from the Alexandria database.

## Properties
**V**: 34.97 Å³/atom
**Formation energy without anion corrections**: -335 meV per atom
**Calculated total energy**: -3.595 eV/atom

The structure in CIF format:
```
data_MgBi4Te7
_cell_length_a 4.4179
_cell_length_b 4.4179
_cell_length_c 24.8252
_cell_angle_alpha 90.00
_cell_angle_beta 90.00
_cell_angle_gamma 120.00
_space_group_name_H-M_alt 'P -3 m 1'
_space_group_IT_number 164
_space_group_name_Hall '-P 3 2"'
loop_
_atom_site_label
_atom_site_type_symbol
_atom_site_fract_x
_atom_site_fract_y
_atom_site_fract_z
Mg1 Mg 0.0000 0.0000 0.0000
Bi1 Bi 0.3333 0.6667 0.1501
Bi2 Bi 0.3333 0.6667 0.4169
Te1 Te 0.0000 0.0000 0.2192
Te2 Te 0.0000 0.0000 0.5000
Te3 Te 0.3333 0.6667 0.6530
Te4 Te 0.3333 0.6667 0.9351
```

The following is a PBE calculation of an optimized crystal structure of ErZnCuRh, from the Alexandria database.

## Properties
**ΔH_f (0 K)**: -0.42 eV/atom
**V**: 16.81 Å³/atom
**Calculated total energy**: -4.742 eV/atom

The structure in CIF format:
```
data_ErZnCuRh
_cell_length_a 6.4549
_cell_length_b 6.4549
_cell_length_c 6.4549
_cell_angle_alpha 90.00
_cell_angle_beta 90.00
_cell_angle_gamma 90.00
_space_group_name_H-M_alt 'F -4 3 m'
_space_group_IT_number 216
_space_group_name_Hall 'F -4 2 3'
loop_
_atom_site_label
_atom_site_type_symbol
_atom_site_fract_x
_atom_site_fract_y
_atom_site_fract_z
Er1 Er 0.0000 0.0000 0.0000
Zn1 Zn 0.0000 0.0000 0.5000
Cu1 Cu 0.2500 0.2500 0.2500
Rh1 Rh 0.2500 0.2500 0.7500
```

The following is a PBE calculation of an optimized crystal structure of La4Tb4Tm3, from the Alexandria database.

## Properties
**ΔH_f (0 K)**: 0.07 eV/atom
**V**: 32.96 Å³/atom
**Calculated total energy**: -4.630 eV/atom
**Energy relative to the lowest polymorph listed for this composition**: 0.000 eV/atom

The structure in CIF format:
```
data_La4Tb4Tm3
_cell_length_a 3.5311
_cell_length_b 5.7256
_cell_length_c 18.2417
_cell_angle_alpha 81.01
_cell_angle_beta 84.45
_cell_angle_gamma 90.00
_space_group_name_H-M_alt 'P -1'
_space_group_IT_number 2
_space_group_name_Hall '-P 1'
loop_
_atom_site_label
_atom_site_type_symbol
_atom_site_fract_x
_atom_site_fract_y
_atom_site_fract_z
La1 La 0.0920 0.0915 0.3160
La2 La 0.2297 0.7295 0.0409
Tb1 Tb 0.0448 0.5443 0.4105
Tb2 Tb 0.1820 0.1817 0.1366
Tm1 Tm 0.3639 0.3647 0.7716
Tm2 Tm 0.5000 0.0000 0.5000
```